{"formula": "ThIr2Rh2", "functional": "GGA-PBE", "state": "relaxed", "cell": [[-3.933, -0.746, 0.399], [0.210, -2.699, -2.975], [4.215, -6.571, 8.979]], "species": ["Th", "Th", "Ir", "Ir", "Ir", "Ir", "Rh", "Rh", "Rh", "Rh"], "frac_coords": [[0.622, 0.622, 0.244], [0.378, 0.378, 0.756], [0.750, 0.250, 0.500], [0.927, 0.927, 0.854], [0.073, 0.073, 0.146], [0.250, 0.750, 0.500], [0.000, 0.500, 0.000], [0.178, 0.178, 0.355], [0.500, 0.000, 0.000], [0.822, 0.822, 0.645]], "final_energy_ev_per_atom": -8.270, "vol_a3_per_atom": 18.694}

***

{"formula": "YThIrRh", "functional": "GGA-PBE", "state": "relaxed", "cell": [[-0.109, 0.573, -3.777], [-0.710, -4.258, -0.625], [-5.230, 0.554, 2.169]], "species": ["Y", "Th", "Ir", "Rh"], "frac_coords": [[0.862, 0.500, 0.723], [0.139, 0.000, 0.277], [0.409, 0.000, 0.819], [0.591, 0.500, 0.181]], "final_energy_ev_per_atom": -8.424, "vol_a3_per_atom": 22.332}

***

{"formula": "YThIrRh", "functional": "GGA-PBE", "state": "relaxed", "cell": [[4.972, 0.000, 0.000], [2.486, 4.306, 0.000], [2.486, 1.435, 4.060]], "species": ["Y", "Ir", "Rh", "Th"], "frac_coords": [[0.750, 0.750, 0.750], [0.500, 0.500, 0.500], [0.000, 0.000, 0.000], [0.250, 0.250, 0.250]], "final_energy_ev_per_atom": -8.327, "vol_a3_per_atom": 21.731}

***

{"formula": "ThZnIrRh", "functional": "GGA-PBE", "state": "relaxed", "cell": [[4.735, 0.000, 0.000], [2.367, 4.101, 0.000], [2.367, 1.367, 3.866]], "species": ["Zn", "Ir", "Rh", "Th"], "frac_coords": [[0.250, 0.250, 0.250], [0.000, 0.000, 0.000], [0.500, 0.500, 0.500], [0.750, 0.750, 0.750]], "final_energy_ev_per_atom": -6.792, "vol_a3_per_atom": 18.766}

***

{"formula": "ThZnIrRh", "functional": "GGA-PBE", "state": "relaxed", "cell": [[-2.387, 2.264, 1.237], [-0.320, -2.488, 3.936], [3.793, 2.847, 2.108]], "species": ["Th", "Zn", "Ir", "Rh"], "frac_coords": [[0.500, 0.500, 0.500], [0.000, 0.500, 0.000], [0.000, 0.000, 0.000], [0.000, 0.000, 0.500]], "final_energy_ev_per_atom": -6.069, "vol_a3_per_atom": 21.282}

***

{"formula": "Th2ZnIr2Rh5", "functional": "GGA-PBE", "state": "relaxed", "cell": [[-3.370, -1.178, -1.908], [3.904, -8.451, -1.676], [-3.495, -3.235, 8.172]], "species": ["Th", "Th", "Th", "Th", "Zn", "Zn", "Ir", "Ir", "Ir", "Ir", "Rh", "Rh", "Rh", "Rh", "Rh", "Rh", "Rh", "Rh", "Rh", "Rh"], "frac_coords": [[0.000, 0.668, 0.168], [0.000, 0.332, 0.832], [0.000, 0.168, 0.332], [0.000, 0.832, 0.668], [0.000, 0.000, 0.000], [0.000, 0.500, 0.500], [0.000, 0.131, 0.631], [0.000, 0.869, 0.369], [0.000, 0.631, 0.869], [0.000, 0.369, 0.131], [0.500, 0.196, 0.067], [0.500, 0.804, 0.933], [0.500, 0.067, 0.804], [0.500, 0.696, 0.433], [0.500, 0.933, 0.196], [0.500, 0.304, 0.567], [0.500, 0.567, 0.696], [0.500, 0.433, 0.304], [0.500, 0.500, 0.000], [0.500, 0.000, 0.500]], "final_energy_ev_per_atom": -7.564, "vol_a3_per_atom": 18.105}

***

{"formula": "Ti2Ir3Rh", "functional": "GGA-PBE", "state": "relaxed", "cell": [[4.911, 0.000, -2.039], [-0.856, 4.821, -2.061], [0.324, 0.428, 7.714]], "species": ["Ti", "Ti", "Ti", "Ti", "Ir", "Ir", "Ir", "Ir", "Ir", "Ir", "Rh", "Rh"], "frac_coords": [[0.429, 0.180, 0.359], [0.571, 0.820, 0.641], [0.069, 0.320, 0.641], [0.931, 0.680, 0.359], [0.389, 0.640, 0.280], [0.611, 0.360, 0.720], [0.109, 0.860, 0.720], [0.891, 0.140, 0.280], [0.500, 0.750, 0.000], [0.500, 0.250, 0.000], [0.000, 0.250, 0.000], [0.000, 0.750, 0.000]], "final_energy_ev_per_atom": -8.685, "vol_a3_per_atom": 15.908}

***

{"formula": "TiIrRh2", "functional": "GGA-PBE", "state": "relaxed", "cell": [[0.000, 3.101, 3.101], [3.101, 0.000, 3.101], [3.101, 3.101, 0.000]], "species": ["Ir", "Rh", "Rh", "Ti"], "frac_coords": [[0.500, 0.500, 0.500], [0.250, 0.250, 0.250], [0.750, 0.750, 0.750], [0.000, 0.000, 0.000]], "final_energy_ev_per_atom": -8.064, "vol_a3_per_atom": 14.909}